(1)
A relaxed SmCuSe2O8 crystal, computed with GGA-PBE. Values from VASP.

Computed properties:
Uncorrected formation energy ... -1.1510 eV/atom
SG ... P-3m1 (164)
Total DFT energy (no corrections) ... -5.7718 eV per atom

Structure (Quantum ESPRESSO input):
```
&SYSTEM
  ibrav = 0, nat = 12, ntyp = 4
/
ATOMIC_SPECIES
O 16.00 O.upf
Se 78.96 Se.upf
Sm 150.36 Sm.upf
Cu 63.55 Cu.upf
CELL_PARAMETERS angstrom
5.5139 0.0000 0.0000
-2.7570 4.7752 0.0000
0.0000 0.0000 6.7443
ATOMIC_POSITIONS crystal
O 0.8369 0.1631 0.2181
O 0.6738 0.8369 0.7819
O 0.6667 0.3333 0.5412
O 0.1631 0.8369 0.7819
O 0.8369 0.6738 0.2181
O 0.3333 0.6667 0.4588
O 0.1631 0.3262 0.7819
O 0.3262 0.1631 0.2181
Se 0.3333 0.6667 0.7076
Se 0.6667 0.3333 0.2924
Sm 0.0000 0.0000 0.5000
Cu 0.0000 0.0000 0.0000
```

(2)
A relaxed Y2ZrRh crystal, computed with GGA-PBE. Values from VASP.

Computed properties:
Polymorph energy (0 for the lowest one) ... 357 meV/atom
Formation energy ... -0.036 eV per atom
SG ... F-43m (216)
Total DFT energy (no corrections) ... -7.2430 eV per atom

Structure (Quantum ESPRESSO input):
```
&SYSTEM
  ibrav = 0, nat = 4, ntyp = 3
/
ATOMIC_SPECIES
Y 88.91 Y.upf
Rh 102.91 Rh.upf
Zr 91.22 Zr.upf
CELL_PARAMETERS angstrom
-2.5706 -1.4412 -4.0831
2.1436 -3.0628 -3.3735
-1.5735 -4.7637 -0.4330
ATOMIC_POSITIONS crystal
Y 0.7500 0.7500 0.7500
Y 0.0000 0.0000 0.0000
Rh 0.5000 0.5000 0.5000
Zr 0.2500 0.2500 0.2500
```